Entry 1:
This record from OQMD describes a relaxed DyBTe crystal. The functional is PBE.

Output
Magnetic moment ... 0.0 μB/f.u.
Calculated volume ... 316 Å³ per cell
ΔE to the lowest computed polymorph ... 413 meV/atom

Lattice parameters (Å, degrees): 6.8120 6.8120 6.8120 90.00 90.00 90.00
Space group F-43m (No. 216)
Unique sites:
Dy 0.0000 0.0000 0.0000 [4 per cell]
B 0.0000 0.0000 0.5000 [4 per cell]
Te 0.2500 0.2500 0.7500 [4 per cell]

***

Entry 2:
This record from OQMD describes a relaxed RbTe5Ir3 crystal. The functional is PBE.

Output
Magnetic moment ... 0.7 μB/f.u.
Calculated volume ... 258 Å³ per cell

Lattice parameters (Å, degrees): 6.0747 6.0747 8.0607 90.00 90.00 120.00
Space group P6/mmm (No. 191)
Unique sites:
Rb 0.0000 0.0000 0.0000 [1 per cell]
Te 0.0000 0.0000 0.5000 [1 per cell]
Te 0.3333 0.6667 0.2497 [4 per cell]
Ir 0.0000 0.5000 0.5000 [3 per cell]

***

Entry 3:
This record from OQMD describes a relaxed DyErInCu2 crystal. The functional is PBE.

Output
Magnetic moment ... 0.0 μB/f.u.
Calculated volume ... 210 Å³ per cell

Lattice parameters (Å, degrees): 3.6531 4.0673 14.1058 90.00 90.00 90.00
Space group Amm2 (No. 38)
Unique sites:
Dy 0.0000 0.0000 0.0000 [2 per cell]
Er 0.0000 0.0000 0.7332 [2 per cell]
In 0.5000 0.0000 0.3663 [2 per cell]
Cu 0.5000 0.0000 0.1676 [2 per cell]
Cu 0.5000 0.0000 0.5675 [2 per cell]

***

Entry 4:
This record from OQMD describes a relaxed Si2Os crystal. The functional is PBE.

Output
Magnetic moment ... 0.0 μB/f.u.
Calculated volume ... 687 Å³ per cell

Lattice parameters (Å, degrees): 10.2107 8.1452 8.2648 90.00 90.00 90.00
Space group Cmce (No. 64)
Unique sites:
Si 0.1269 0.0525 0.2243 [16 per cell]
Si 0.1280 0.2223 0.9416 [16 per cell]
Os 0.0000 0.1885 0.6822 [8 per cell]
Os 0.2154 0.0000 0.5000 [8 per cell]

***

Entry 5:
This record from OQMD describes a relaxed Zr3Ni4P4 crystal. The functional is PBE.

Output
Magnetic moment ... 0.0 μB/f.u.
Calculated volume ... 334 Å³ per cell

Lattice parameters (Å, degrees): 5.5014 5.5014 11.0250 90.00 90.00 90.00
Space group I-42m (No. 121)
Unique sites:
Zr 0.0000 0.0000 0.0000 [2 per cell]
Zr 0.0000 0.5000 0.2500 [4 per cell]
Ni 0.1636 0.1636 0.5839 [8 per cell]
P 0.0000 0.0000 0.2481 [4 per cell]
P 0.0000 0.5000 0.0000 [4 per cell]

***

Entry 6:
This record from OQMD describes a relaxed HfAl2 crystal. The functional is PBE.

Output
Magnetic moment ... 0.0 μB/f.u.
Calculated volume ... 416 Å³ per cell

Lattice parameters (Å, degrees): 5.2622 5.2622 17.3308 90.00 90.00 120.00
Space group P6_3/mmc (No. 194)
Unique sites:
Hf 0.0000 0.0000 0.0921 [4 per cell]
Hf 0.3333 0.6667 0.1567 [4 per cell]
Al 0.0000 0.5000 0.0000 [6 per cell]
Al 0.1621 0.3241 0.7500 [6 per cell]
Al 0.3333 0.6667 0.6259 [4 per cell]

***

Entry 7:
This record from OQMD describes a relaxed PaHgO3 crystal. The functional is PBE.

Output
Magnetic moment ... 1.0 μB/f.u.
Calculated volume ... 455 Å³ per cell

Lattice parameters (Å, degrees): 6.2036 6.2036 13.6385 90.00 90.00 120.00
Space group R-3c (No. 167, hexagonal axes)
Unique sites:
Pa 0.0000 0.0000 0.2500 [6 per cell]
Hg 0.0000 0.0000 0.0000 [6 per cell]
O 0.0000 0.3492 0.2500 [18 per cell]

***

Entry 8:
This record from OQMD describes a relaxed CsSmTm crystal. The functional is PBE.

Output
Magnetic moment ... 3.1 μB/f.u.
Calculated volume ... 632 Å³ per cell
ΔE to the lowest computed polymorph ... 0 meV/atom

Lattice parameters (Å, degrees): 8.5838 8.5838 8.5838 90.00 90.00 90.00
Space group F-43m (No. 216)
Unique sites:
Cs 0.0000 0.0000 0.0000 [4 per cell]
Sm 0.0000 0.0000 0.5000 [4 per cell]
Tm 0.2500 0.2500 0.2500 [4 per cell]

***

Entry 9:
This record from OQMD describes a relaxed SrMgCoSb crystal. The functional is PBE.

Output
Magnetic moment ... 0.0 μB/f.u.
Calculated volume ... 339 Å³ per cell
ΔE to the lowest computed polymorph ... 20 meV/atom

Lattice parameters (Å, degrees): 6.9716 6.9716 6.9716 90.00 90.00 90.00
Space group F-43m (No. 216)
Unique sites:
Sr 0.0000 0.0000 0.0000 [4 per cell]
Mg 0.2500 0.2500 0.7500 [4 per cell]
Co 0.2500 0.2500 0.2500 [4 per cell]
Sb 0.0000 0.0000 0.5000 [4 per cell]

***

Entry 10:
This record from OQMD describes a relaxed Cs2As2Pd3 crystal. The functional is PBE.

Output
Calculated volume ... 601 Å³ per cell

Lattice parameters (Å, degrees): 4.4168 4.4168 35.5986 90.00 90.00 120.00
Space group R3m (No. 160, hexagonal axes)
Unique sites:
Cs 0.0000 0.0000 0.0000 [3 per cell]
Cs 0.0000 0.0000 0.4386 [3 per cell]
As 0.0000 0.0000 0.1829 [3 per cell]
As 0.0000 0.0000 0.5997 [3 per cell]
Pd 0.0000 0.0000 0.2557 [3 per cell]
Pd 0.0000 0.0000 0.5284 [3 per cell]
Pd 0.0000 0.0000 0.8908 [3 per cell]

***

Entry 11:
This record from OQMD describes a relaxed Li2Y2FeSn2Pd crystal. The functional is PBE.

Output
Magnetic moment ... 2.0 μB/f.u.
Calculated volume ... 150 Å³ per cell

Lattice parameters (Å, degrees): 4.7263 4.7263 6.6983 90.00 90.00 90.00
Space group P-4m2 (No. 115)
Unique sites:
Li 0.0000 0.0000 0.0000 [1 per cell]
Li 0.5000 0.5000 0.5000 [1 per cell]
Y 0.0000 0.5000 0.2487 [2 per cell]
Fe 0.5000 0.5000 0.0000 [1 per cell]
Sn 0.0000 0.5000 0.7640 [2 per cell]
Pd 0.0000 0.0000 0.5000 [1 per cell]

***

Entry 12:
This record from OQMD describes a relaxed HfZn3 crystal. The functional is PBE.

Output
Magnetic moment ... 0.0 μB/f.u.
Calculated volume ... 128 Å³ per cell
Formation energy ... -0.18 eV/atom

Lattice parameters (Å, degrees): 4.1593 5.5374 5.5517 90.00 90.00 90.00
Space group Pmmn (No. 59, origin choice 2)
Unique sites:
Hf 0.2500 0.2500 0.1029 [2 per cell]
Zn 0.2500 0.5018 0.6428 [4 per cell]
Zn 0.2500 0.7500 0.2374 [2 per cell]

***

Number 1: E -12.4 eV per formula unit. Number 2: E -43.7 eV per formula unit. Number 3: E -21.2 eV per formula unit. Number 4: E -23.4 eV per formula unit. Number 5: E -79.5 eV per formula unit. Number 6: E -18.8 eV per formula unit. Number 7: E -31.5 eV per formula unit. Number 8: E -6.3 eV per formula unit. Number 9: E -14.0 eV per formula unit. Number 10: E -28.4 eV per formula unit. Number 11: E -42.5 eV per formula unit. Number 12: E -14.5 eV per formula unit.